# 1
DFT (PBE) results for Ce5IrRh2 after structural relaxation.

a b c (Å): 5.3203 5.6978 14.3760
angles (deg): 90.00 90.00 117.83
Last column: magnetic moment on the atom in μB.
Positions (direct):
Rh 0.2462 0.4924 0.5669  -0.02
Rh 0.7538 0.5076 0.4331  -0.02
Rh 0.7538 0.5076 0.0669  -0.02
Rh 0.2462 0.4924 0.9331  -0.02
Ce 0.0908 0.1815 0.0990  0.23
Ce 0.5683 0.1367 0.9160  0.19
Ce 0.9092 0.8185 0.9010  0.23
Ce 0.5683 0.1367 0.5840  0.19
Ce 0.0908 0.1815 0.4010  0.23
Ce 0.7476 0.4951 0.2500  0.03
Ce 0.9092 0.8185 0.5990  0.23
Ce 0.2524 0.5049 0.7500  0.03
Ce 0.4317 0.8633 0.4160  0.19
Ce 0.4317 0.8633 0.0840  0.19
Ir 0.7213 0.4427 0.7500  -0.01
Ir 0.2787 0.5573 0.2500  -0.01

Summary:
SG = Cmcm, No. 63
Total energy = -7.12 eV/atom
Energy relative to the elements = -0.4662 eV per atom


# 2
DFT (PBE) results for La2PaIn after structural relaxation.

a b c (Å): 3.3843 3.3843 10.2169
angles (deg): 90.00 90.00 90.00
Positions (direct):
La 0.0000 0.0000 0.2465
La 0.0000 0.0000 0.7535
Pa 0.5000 0.5000 0.0000
In 0.5000 0.5000 0.5000

Summary:
SG = P4/mmm, No. 123
Total energy = -5.60 eV/atom
Energy relative to the elements = -0.0792 eV per atom


# 3
DFT (PBE) results for Li2MgAsH after structural relaxation.

a b c (Å): 3.9537 3.9537 4.2454
angles (deg): 90.00 90.00 90.00
Positions (direct):
Li 0.0000 0.5000 0.0000
Li 0.5000 0.0000 0.0000
H 0.0000 0.0000 0.0000
Mg 0.0000 0.0000 0.5000
As 0.5000 0.5000 0.5000

Summary:
SG = P4/mmm, No. 123
Total energy = -3.23 eV/atom


# 4
DFT (PBE) results for LaSm3Sn3 after structural relaxation.

a b c (Å): 5.4300 9.4897 9.4897
angles (deg): 120.00 90.00 90.00
Positions (direct):
Sm 0.2500 0.2406 0.9985
Sm 0.2500 0.7579 0.7594
Sm 0.2500 0.0015 0.2421
Sm 0.7500 0.2421 0.2406
Sm 0.7500 0.9985 0.7579
Sm 0.7500 0.7594 0.0015
La 0.7500 0.3333 0.6667
La 0.2500 0.6667 0.3333
Sn 0.7500 0.6226 0.5499
Sn 0.2500 0.3774 0.4501
Sn 0.7500 0.9273 0.3774
Sn 0.7500 0.4501 0.0727
Sn 0.2500 0.5499 0.9273
Sn 0.2500 0.0727 0.6226

Summary:
SG = P6_3/m, No. 176
Total energy = -5.01 eV/atom
Energy relative to the elements = -0.5696 eV per atom


# 5
DFT (PBE) results for SrY2Si after structural relaxation.

a b c (Å): 6.8460 6.8460 5.6464
angles (deg): 65.67 65.67 31.33
Positions (direct):
Si 0.2500 0.2500 0.2500
Sr 0.7500 0.7500 0.7500
Y 0.9405 0.9405 0.0596
Y 0.5595 0.5595 0.4404

Summary:
SG = Immm, No. 71
Total energy = -5.22 eV/atom
Formation energy without anion corrections = -0.9 eV per formula unit


# 6
DFT (PBE) results for Ba4LiTe after structural relaxation.

a b c (Å): 7.4919 7.4919 7.4919
angles (deg): 60.00 60.00 60.00
Positions (direct):
Ba 0.3738 0.3738 0.8787
Ba 0.3738 0.3738 0.3738
Ba 0.3738 0.8787 0.3738
Ba 0.8787 0.3738 0.3738
Li 0.7500 0.7500 0.7500
Te 0.0000 0.0000 0.0000

Summary:
SG = F-43m, No. 216
Total energy = -2.03 eV/atom
Formation energy without anion corrections = 0.6 eV per formula unit


# 7
DFT (PBE) results for ScAg2Au after structural relaxation.

a b c (Å): 5.0539 3.0229 4.9932
angles (deg): 88.18 90.00 90.00
Positions (direct):
Ag 0.0000 0.0309 0.0000
Ag 0.0000 0.4691 0.5000
Sc 0.5000 0.7500 0.7500
Au 0.5000 0.2500 0.2500

Summary:
SG = P2/m, No. 10
Total energy = -4.05 eV/atom
Energy relative to the elements = -0.2255 eV per atom


# 8
DFT (PBE) results for Ce3Nd2Pb4 after structural relaxation.

a b c (Å): 5.1312 6.9112 8.8184
angles (deg): 103.55 106.91 90.00
Last column: magnetic moment on the atom in μB.
Positions (direct):
Pb 0.5047 0.2830 0.0094  -0.03
Pb 0.2549 0.3135 0.5098  -0.01
Pb 0.4953 0.7170 0.9906  -0.03
Pb 0.7451 0.6865 0.4902  -0.01
Ce 0.8890 0.4273 0.7780  0.94
Ce 0.0000 0.0000 0.0000  0.87
Ce 0.1110 0.5727 0.2220  0.94
Nd 0.3330 0.9153 0.6659  0.03
Nd 0.6670 0.0847 0.3341  0.03

Summary:
SG = C2/m, No. 12
Total energy = -5.06 eV/atom
Energy relative to the elements = -0.3727 eV per atom


# 9
DFT (PBE) results for Tb5Sm2Ho5 after structural relaxation.

a b c (Å): 5.0245 7.9472 10.6724
angles (deg): 72.67 76.38 71.57
Positions (direct):
Ho 0.5000 0.5000 0.5000
Ho 0.5837 0.0824 0.7502
Ho 0.4163 0.9176 0.2498
Ho 0.3333 0.3331 0.0004
Ho 0.6667 0.6669 0.9996
Tb 0.7510 0.2490 0.2490
Tb 0.1667 0.1663 0.5002
Tb 0.0000 0.0000 0.0000
Tb 0.8333 0.8337 0.4998
Tb 0.2490 0.7510 0.7510
Sm 0.0831 0.5838 0.2499
Sm 0.9169 0.4162 0.7501

Summary:
SG = C2/m, No. 12
Total energy = -4.61 eV/atom
Energy relative to the elements = 0.0172 eV per atom


# 10
DFT (PBE) results for Li2CeTmHg4 after structural relaxation.

a b c (Å): 5.0551 5.0551 8.8186
angles (deg): 73.34 73.34 60.00
Last column: magnetic moment on the atom in μB.
Positions (direct):
Hg 0.6211 0.6211 0.1366  0.01
Hg 0.1277 0.1277 0.6169  0.00
Hg 0.8723 0.8723 0.3831  0.00
Hg 0.3789 0.3789 0.8634  0.01
Tm 0.5000 0.5000 0.5000  -0.01
Li 0.2481 0.2481 0.2558  0.00
Li 0.7519 0.7519 0.7442  0.00
Ce 0.0000 0.0000 0.0000  0.77

Summary:
SG = R-3m, No. 166
Total energy = -2.31 eV/atom
Energy relative to the elements = -0.3817 eV per atom


# 11
DFT (PBE) results for MnTl2Te after structural relaxation.

a b c (Å): 3.5779 3.5779 8.1630
angles (deg): 90.00 90.00 90.00
Last column: magnetic moment on the atom in μB.
Positions (direct):
Mn 0.5000 0.5000 0.2500  3.98
Te 0.5000 0.5000 0.7500  0.06
Tl 0.0000 0.0000 0.4632  0.01
Tl 0.0000 0.0000 0.0368  0.01

Summary:
SG = P4/mmm, No. 123
Total energy = -3.90 eV/atom
Formation energy without anion corrections = 1.5 eV per formula unit


# 12
DFT (PBE) results for RbMnPb3 after structural relaxation.

a b c (Å): 5.3011 5.3011 5.3011
angles (deg): 90.00 90.00 90.00
Positions (direct):
Pb 0.0000 0.5000 0.0000
Pb 0.5000 0.0000 0.0000
Pb 0.0000 0.0000 0.5000
Mn 0.0000 0.0000 0.0000
Rb 0.5000 0.5000 0.5000

Summary:
SG = Pm-3m, No. 221
Total energy = -3.94 eV/atom
Energy relative to the elements = 0.3075 eV per atom


Q: The lowest total energy belongs to which entry?
A: Ce5IrRh2


Q: Which formula does entry 1 have?
A: Ce5IrRh2